# K2P

A crystal of K2P relaxed with PBEsol (SCAN, Alexandria).

Density ... 2.025 Mg/m³
Space-group type ... Fmmm, No. 69

a b c (Å): 5.9333 5.9314 4.1703
angles (deg): 69.45 69.40 41.16
Positions (direct):
1 K 0.1509 0.1509 0.8491
2 K 0.8491 0.8491 0.1509
3 P 0.5000 0.5000 0.5000



# KP

A crystal of KP relaxed with PBEsol (SCAN, Alexandria).

Density ... 2.139 Mg/m³
Space-group type ... Pnma, No. 62

a b c (Å): 9.0426 3.9465 6.0976
angles (deg): 90.00 90.00 90.00
Positions (direct):
1 K 0.1803 0.2500 0.0976
2 K 0.3197 0.7500 0.5976
3 K 0.6803 0.2500 0.4024
4 K 0.8197 0.7500 0.9024
5 P 0.0268 0.2500 0.5851
6 P 0.4732 0.7500 0.0851
7 P 0.5268 0.2500 0.9149
8 P 0.9732 0.7500 0.4149



Number 1: total DFT energy (no corrections) -9.155 eV/atom, formation energy from the elements -0.14 eV per atom, distance to the lowest polymorph of the same formula 0.70 eV per formula unit. Number 2: total DFT energy (no corrections) -9.801 eV/atom, formation energy from the elements -0.44 eV per atom, distance to the lowest polymorph of the same formula 0.21 eV per formula unit.